## TmLuCu2Sn2 (PBE)

Data for a relaxed TmLuCu2Sn2 crystal.

Output
The total energy comes out at -27.88 eV per cell. For the theoretical density, the calculation gives 9.4 g/cm3.

Lattice parameters (Å, degrees): 4.4974 4.4974 7.1245 90.00 90.00 120.00
Closest atoms and distances in Å follow each position.
Space group P3m1 (No. 156)
Inequivalent atoms, fractional coordinates:
Tm (0.0000, 0.0000, 0.0000) [1 per cell]  3 Cu 2.89, 3 Sn 3.08
Lu (0.0000, 0.0000, 0.4997) [1 per cell]  3 Cu 2.88, 3 Sn 3.07
Cu (0.3333, 0.6667, 0.8228) [1 per cell]  4 Sn 2.68-2.91, 3 Tm 2.89
Cu (0.6667, 0.3333, 0.3260) [1 per cell]  4 Sn 2.68-2.87, 3 Lu 2.88
Sn (0.3333, 0.6667, 0.2313) [1 per cell]  4 Cu 2.68-2.91
Sn (0.6667, 0.3333, 0.7292) [1 per cell]  4 Cu 2.68-2.87